## K5Au (meta-GGA SCAN)

Data for K5Au at its PBEsol-relaxed geometry.

Its calculated density is 2.05 g/cm3. The value obtained for the energy above the most stable polymorph in this dataset is 4.9 meV per atom. The symmetry is Cm (8). Its density of states at the Fermi level is 3.564 states/eV per cell. The formation energy comes out at -0.12 eV/atom. The value obtained for the raw total energy is -18.5833 eV per atom.

Cell lengths 4.2435, 7.9028, 10.4179 Å; angles 72.65, 78.25, 74.43 degrees
Sites, in units of the cell vectors:
Au1 0.0280 0.9997 0.9444
K1 0.6431 0.6576 0.0562
K2 0.6929 0.9330 0.6812
K3 0.4128 0.3417 0.8328
K4 0.3627 0.0669 0.2077
K5 0.0272 0.5012 0.4443